Entry 1:
First-principles (GGA-PBE) data for a relaxed Cd4PbC2S crystal, as listed in the Open Quantum Materials Database.

Calculated values
electronic total energy: -22.8 eV per cell
theoretical density: 7.6 Mg/m³

Cell lengths 3.676, 3.676, 13.385 Å; angles 90.00, 90.00, 120.00 degrees
Positions (direct):
Cd 0.000 0.000 0.128
Cd 0.000 0.000 0.872
Cd 0.667 0.333 0.306
Cd 0.667 0.333 0.694
Pb 0.000 0.000 0.500
C 0.333 0.667 0.237
C 0.333 0.667 0.763
S 0.667 0.333 0.000

Entry 2:
First-principles (GGA-PBE) data for a relaxed Sc4CdPbC2 crystal, as listed in the Open Quantum Materials Database.

Calculated values
electronic total energy: -52.5 eV per cell
theoretical density: 5.8 Mg/m³

Cell lengths 3.363, 3.363, 15.342 Å; angles 90.00, 90.00, 120.00 degrees
Positions (direct):
Sc 0.000 0.000 0.170
Sc 0.000 0.000 0.830
Sc 0.333 0.667 0.329
Sc 0.333 0.667 0.671
Cd 0.000 0.000 0.500
Pb 0.333 0.667 0.000
C 0.667 0.333 0.249
C 0.667 0.333 0.751